Density functional theory data (PBE) for a geometry-optimized ZrCO2 structure.

Cell and atoms, written as POSCAR:
```
ZrCO2
1.0
-3.157 3.157 4.589
3.157 -3.157 4.589
3.157 3.157 -4.589
Zr C O
2 2 4
Cartesian
0.000 0.000 0.000 Zr
0.000 3.157 2.295 Zr
3.157 0.000 2.295 C
0.000 0.000 4.589 C
0.310 1.579 1.147 O
-1.579 2.847 3.442 O
-0.310 4.736 1.147 O
1.579 3.467 3.442 O
```

Computed properties:
ΔE_f (raw): -0.418 eV/atom
symmetry: I-42d (122)
V: 22.87 Å³/atom

---

Density functional theory data (PBE) for a geometry-optimized ZrC3O structure.

Cell and atoms, written as POSCAR:
```
ZrC3O
1.0
3.642 0.000 0.000
0.000 3.642 0.000
0.000 0.000 3.642
Zr C O
1 3 1
Cartesian
0.000 0.000 0.000 Zr
0.000 1.821 1.821 C
1.821 0.000 1.821 C
1.821 1.821 0.000 C
1.821 1.821 1.821 O
```

Computed properties:
ΔE_f (raw): 1.924 eV/atom
E above lowest polymorph: 0.0000 eV/atom
symmetry: Pm-3m (221)
V: 9.66 Å³/atom

---

Density functional theory data (PBE) for a geometry-optimized Zr8CO2 structure.

Cell and atoms, written as POSCAR:
```
Zr8CO2
1.0
5.974 -3.330 0.000
5.974 3.330 0.000
-0.136 0.000 5.409
Zr C O
8 1 2
Cartesian
1.757 0.000 4.137 Zr
4.971 1.680 4.035 Zr
6.841 1.680 1.375 Zr
4.118 0.000 1.317 Zr
7.693 0.000 4.092 Zr
4.971 -1.680 4.035 Zr
6.841 -1.680 1.375 Zr
10.055 0.000 1.273 Zr
-0.068 0.000 2.705 C
2.110 0.000 0.844 O
9.702 0.000 4.566 O
```

Computed properties:
ΔE_f (raw): -0.971 eV/atom
symmetry: C2/m (12)
V: 19.56 Å³/atom

---

Density functional theory data (PBE) for a geometry-optimized Zr6C2O structure.

Cell and atoms, written as POSCAR:
```
Zr6C2O
1.0
5.355 0.000 0.000
0.000 5.710 0.000
0.000 0.000 9.936
Zr C O
12 4 2
Cartesian
1.256 0.946 0.000 Zr
1.328 0.979 3.326 Zr
1.328 0.979 6.610 Zr
1.350 3.834 1.642 Zr
1.350 3.834 8.294 Zr
1.421 3.801 4.968 Zr
3.933 1.909 4.968 Zr
4.005 1.876 1.642 Zr
4.005 1.876 8.294 Zr
4.027 4.731 3.326 Zr
4.027 4.731 6.610 Zr
4.099 4.764 0.000 Zr
0.000 0.000 1.673 C
0.000 0.000 8.263 C
2.677 2.855 3.295 C
2.677 2.855 6.641 C
0.000 2.855 0.000 O
2.677 0.000 4.968 O
```

Computed properties:
ΔE_f (raw): -0.961 eV/atom
symmetry: Pnnm (58)
V: 16.88 Å³/atom

---

Number 1: total energy -0.2698 Ha/atom. Number 2: total energy -0.2319 Ha/atom. Number 3: total energy -0.3281 Ha/atom. Number 4: total energy -0.3403 Ha/atom.